Material: HgAsW
Method: DFT, GGA-PBE
State: optimized geometry Values from VASP.

Quantum ESPRESSO input file:
```
&SYSTEM
  ibrav = 0, nat = 6, ntyp = 3
/
ATOMIC_SPECIES
Hg 200.59 Hg.upf
As 74.92 As.upf
W 183.84 W.upf
CELL_PARAMETERS angstrom
3.262 0.000 0.000
0.000 3.262 0.000
0.000 0.000 10.511
ATOMIC_POSITIONS crystal
Hg 0.000 0.000 0.000
Hg 0.500 0.500 0.500
As 0.000 0.000 0.300
As 0.500 0.500 0.800
W 0.000 0.000 0.690
W 0.500 0.500 0.190
```

Results
calculated density: 13.64 g cm⁻³
V: 18.636 Å³ per atom
E_form: 1.41 eV/f.u.
total energy: -5.50 eV per atom